# Pm4C2O PBE relaxed
data_Pm4C2O
_symmetry_space_group_name_H-M 'P 1'
_symmetry_Int_Tables_number 1
_cell_length_a 6.182
_cell_length_b 12.474
_cell_length_c 3.656
_cell_angle_alpha 90.00
_cell_angle_beta 90.00
_cell_angle_gamma 90.00
loop_
_symmetry_equiv_pos_as_xyz
'x,y,z'
loop_
_atom_site_label
_atom_site_fract_x
_atom_site_fract_y
_atom_site_fract_z
_atom_site_occupancy
Pm1 0.210 0.093 0.000 1
Pm2 0.226 0.333 0.500 1
Pm3 0.274 0.833 0.500 1
Pm4 0.290 0.593 0.000 1
Pm5 0.710 0.407 0.000 1
Pm6 0.726 0.167 0.500 1
Pm7 0.774 0.667 0.500 1
Pm8 0.790 0.907 0.000 1
C1 0.026 0.750 0.000 1
C2 0.474 0.250 0.000 1
C3 0.526 0.750 0.000 1
C4 0.974 0.250 0.000 1
O1 0.000 0.000 0.500 1
O2 0.500 0.500 0.500 1
# - final energy (eV for the cell shown) = -96.150
# - space group = Pbam (55)
# - uncorrected formation energy (meV/atom) = -810
# - DOS(E_F) (states/eV/cell) = 6.7


# Pm2CO PBE relaxed
data_Pm2CO
_symmetry_space_group_name_H-M 'P 1'
_symmetry_Int_Tables_number 1
_cell_length_a 6.305
_cell_length_b 6.305
_cell_length_c 6.305
_cell_angle_alpha 33.79
_cell_angle_beta 33.79
_cell_angle_gamma 33.79
loop_
_symmetry_equiv_pos_as_xyz
'x,y,z'
loop_
_atom_site_label
_atom_site_fract_x
_atom_site_fract_y
_atom_site_fract_z
_atom_site_occupancy
Pm1 0.248 0.248 0.248 1
Pm2 0.752 0.752 0.752 1
C1 0.500 0.500 0.500 1
O1 0.000 0.000 0.000 1
# - final energy (eV for the cell shown) = -29.764
# - space group = R-3m (166)
# - uncorrected formation energy (meV/atom) = -1520
# - DOS(E_F) (states/eV/cell) = 1.2


# Pm4C2O PBE relaxed
data_Pm4C2O
_symmetry_space_group_name_H-M 'P 1'
_symmetry_Int_Tables_number 1
_cell_length_a 12.760
_cell_length_b 12.760
_cell_length_c 12.760
_cell_angle_alpha 16.55
_cell_angle_beta 16.55
_cell_angle_gamma 16.55
loop_
_symmetry_equiv_pos_as_xyz
'x,y,z'
loop_
_atom_site_label
_atom_site_fract_x
_atom_site_fract_y
_atom_site_fract_z
_atom_site_occupancy
Pm1 0.114 0.114 0.114 1
Pm2 0.295 0.295 0.295 1
Pm3 0.705 0.705 0.705 1
Pm4 0.886 0.886 0.886 1
C1 0.413 0.413 0.413 1
C2 0.587 0.587 0.587 1
O1 0.000 0.000 0.000 1
# - final energy (eV for the cell shown) = -49.094
# - space group = R-3m (166)
# - uncorrected formation energy (meV/atom) = -955
# - DOS(E_F) (states/eV/cell) = 2.5


# Pm4CO PBE relaxed
data_Pm4CO
_symmetry_space_group_name_H-M 'P 1'
_symmetry_Int_Tables_number 1
_cell_length_a 6.274
_cell_length_b 3.664
_cell_length_c 6.340
_cell_angle_alpha 90.00
_cell_angle_beta 95.86
_cell_angle_gamma 90.00
loop_
_symmetry_equiv_pos_as_xyz
'x,y,z'
loop_
_atom_site_label
_atom_site_fract_x
_atom_site_fract_y
_atom_site_fract_z
_atom_site_occupancy
Pm1 0.145 0.000 0.277 1
Pm2 0.354 0.500 0.719 1
Pm3 0.646 0.500 0.281 1
Pm4 0.855 0.000 0.723 1
C1 0.000 0.500 0.500 1
O1 0.500 0.000 0.500 1
# - final energy (eV for the cell shown) = -38.862
# - space group = P2/m (10)
# - uncorrected formation energy (meV/atom) = -946
# - DOS(E_F) (states/eV/cell) = 4.9


# Pm6C2S3O PBE relaxed
data_Pm6C2S3O
_symmetry_space_group_name_H-M 'P 1'
_symmetry_Int_Tables_number 1
_cell_length_a 8.733
_cell_length_b 8.733
_cell_length_c 7.843
_cell_angle_alpha 105.32
_cell_angle_beta 105.32
_cell_angle_gamma 25.28
loop_
_symmetry_equiv_pos_as_xyz
'x,y,z'
loop_
_atom_site_label
_atom_site_fract_x
_atom_site_fract_y
_atom_site_fract_z
_atom_site_occupancy
Pm1 0.010 0.010 0.237 1
Pm2 0.326 0.326 0.436 1
Pm3 0.339 0.339 0.895 1
Pm4 0.661 0.661 0.105 1
Pm5 0.674 0.674 0.564 1
Pm6 0.990 0.990 0.763 1
C1 0.163 0.163 0.326 1
C2 0.837 0.837 0.674 1
S1 0.166 0.166 0.833 1
S2 0.500 0.500 0.500 1
S3 0.834 0.834 0.167 1
O1 0.500 0.500 0.000 1
# - final energy (eV for the cell shown) = -83.358
# - space group = C2/m (12)
# - uncorrected formation energy (meV/atom) = -1589
# - DOS(E_F) (states/eV/cell) = 3.7


# Pm8C3S3O PBE relaxed
data_Pm8C3S3O
_symmetry_space_group_name_H-M 'P 1'
_symmetry_Int_Tables_number 1
_cell_length_a 7.831
_cell_length_b 7.831
_cell_length_c 7.831
_cell_angle_alpha 58.23
_cell_angle_beta 58.23
_cell_angle_gamma 58.23
loop_
_symmetry_equiv_pos_as_xyz
'x,y,z'
loop_
_atom_site_label
_atom_site_fract_x
_atom_site_fract_y
_atom_site_fract_z
_atom_site_occupancy
Pm1 0.233 0.742 0.742 1
Pm2 0.240 0.240 0.240 1
Pm3 0.258 0.258 0.767 1
Pm4 0.258 0.767 0.258 1
Pm5 0.742 0.233 0.742 1
Pm6 0.742 0.742 0.233 1
Pm7 0.760 0.760 0.760 1
Pm8 0.767 0.258 0.258 1
C1 0.000 0.000 0.500 1
C2 0.000 0.500 0.000 1
C3 0.500 0.000 0.000 1
S1 0.000 0.500 0.500 1
S2 0.500 0.000 0.500 1
S3 0.500 0.500 0.000 1
O1 0.500 0.500 0.500 1
# - final energy (eV for the cell shown) = -102.195
# - space group = R-3m (166)
# - uncorrected formation energy (meV/atom) = -1278
# - DOS(E_F) (states/eV/cell) = 7.4


# Pm8C3S4O PBE relaxed
data_Pm8C3S4O
_symmetry_space_group_name_H-M 'P 1'
_symmetry_Int_Tables_number 1
_cell_length_a 7.864
_cell_length_b 7.864
_cell_length_c 7.864
_cell_angle_alpha 58.18
_cell_angle_beta 58.18
_cell_angle_gamma 58.18
loop_
_symmetry_equiv_pos_as_xyz
'x,y,z'
loop_
_atom_site_label
_atom_site_fract_x
_atom_site_fract_y
_atom_site_fract_z
_atom_site_occupancy
Pm1 0.234 0.741 0.741 1
Pm2 0.240 0.240 0.240 1
Pm3 0.259 0.259 0.766 1
Pm4 0.259 0.766 0.259 1
Pm5 0.741 0.234 0.741 1
Pm6 0.741 0.741 0.234 1
Pm7 0.760 0.760 0.760 1
Pm8 0.766 0.259 0.259 1
C1 0.000 0.000 0.500 1
C2 0.000 0.500 0.000 1
C3 0.500 0.000 0.000 1
S1 0.000 0.000 0.000 1
S2 0.000 0.500 0.500 1
S3 0.500 0.000 0.500 1
S4 0.500 0.500 0.000 1
O1 0.500 0.500 0.500 1
# - final energy (eV for the cell shown) = -111.051
# - space group = R-3m (166)
# - uncorrected formation energy (meV/atom) = -1494
# - DOS(E_F) (states/eV/cell) = 3.8


# Pm4CSO2 PBE relaxed
data_Pm4CSO2
_symmetry_space_group_name_H-M 'P 1'
_symmetry_Int_Tables_number 1
_cell_length_a 6.357
_cell_length_b 3.720
_cell_length_c 6.566
_cell_angle_alpha 90.00
_cell_angle_beta 109.57
_cell_angle_gamma 90.00
loop_
_symmetry_equiv_pos_as_xyz
'x,y,z'
loop_
_atom_site_label
_atom_site_fract_x
_atom_site_fract_y
_atom_site_fract_z
_atom_site_occupancy
Pm1 0.236 0.000 0.224 1
Pm2 0.245 0.500 0.765 1
Pm3 0.755 0.500 0.235 1
Pm4 0.764 0.000 0.776 1
C1 0.500 0.000 0.000 1
S1 0.500 0.500 0.500 1
O1 0.000 0.000 0.500 1
O2 0.000 0.500 0.000 1
# - final energy (eV for the cell shown) = -57.788
# - space group = P2/m (10)
# - uncorrected formation energy (meV/atom) = -1940
# - DOS(E_F) (states/eV/cell) = 2.4


# PmScCO PBE relaxed
data_PmScCO
_symmetry_space_group_name_H-M 'P 1'
_symmetry_Int_Tables_number 1
_cell_length_a 6.258
_cell_length_b 6.258
_cell_length_c 6.258
_cell_angle_alpha 151.68
_cell_angle_beta 149.80
_cell_angle_gamma 41.88
loop_
_symmetry_equiv_pos_as_xyz
'x,y,z'
loop_
_atom_site_label
_atom_site_fract_x
_atom_site_fract_y
_atom_site_fract_z
_atom_site_occupancy
Pm1 0.000 0.000 0.000 1
Sc1 0.752 0.252 0.500 1
C1 0.330 0.830 0.500 1
O1 0.595 0.595 0.000 1
# - final energy (eV for the cell shown) = -30.029
# - space group = Imm2 (44)
# - uncorrected formation energy (meV/atom) = -1191
# - DOS(E_F) (states/eV/cell) = 1.1


# Pm6C2Se3O PBE relaxed
data_Pm6C2Se3O
_symmetry_space_group_name_H-M 'P 1'
_symmetry_Int_Tables_number 1
_cell_length_a 8.963
_cell_length_b 8.963
_cell_length_c 8.074
_cell_angle_alpha 106.60
_cell_angle_beta 106.60
_cell_angle_gamma 24.90
loop_
_symmetry_equiv_pos_as_xyz
'x,y,z'
loop_
_atom_site_label
_atom_site_fract_x
_atom_site_fract_y
_atom_site_fract_z
_atom_site_occupancy
Pm1 0.013 0.013 0.231 1
Pm2 0.324 0.324 0.442 1
Pm3 0.340 0.340 0.890 1
Pm4 0.660 0.660 0.110 1
Pm5 0.676 0.676 0.558 1
Pm6 0.987 0.987 0.769 1
C1 0.163 0.163 0.326 1
C2 0.837 0.837 0.674 1
Se1 0.166 0.166 0.832 1
Se2 0.500 0.500 0.500 1
Se3 0.834 0.834 0.168 1
O1 0.500 0.500 0.000 1
# - final energy (eV for the cell shown) = -80.047
# - space group = C2/m (12)
# - uncorrected formation energy (meV/atom) = -1474
# - DOS(E_F) (states/eV/cell) = 4.3